# 1
ZrCdMo2 | Alexandria via LeMat-Bulk | GGA-PBE | optimized geometry; raw total energy = -7.297 eV/atom; magnetic moment = 0.000 μB/atom; energy of formation = 485 meV/atom
1.0
1.450 0.837 10.205
-1.450 0.837 10.205
0.000 -1.674 10.205
Zr Cd Mo
1 1 2
Cartesian
0.000 0.000 0.000
0.000 0.000 15.307
0.000 0.000 7.614
0.000 0.000 23.001

---

# 2
YMg2Rh | Alexandria via LeMat-Bulk | GGA-PBE | optimized geometry; raw total energy = -4.371 eV/atom; magnetic moment = 0.000 μB/atom; energy of formation = -120 meV/atom
1.0
-2.028 2.028 10.773
2.028 -2.028 10.773
2.028 2.028 -10.773
Y Mg Rh
2 4 2
Cartesian
0.000 0.000 0.000
0.000 2.028 5.386
1.014 -0.914 8.079
1.114 1.014 2.693
1.014 2.941 -2.693
0.914 1.014 13.466
2.028 0.000 5.386
0.000 0.000 10.773

---

# 3
ThZrO | Alexandria via LeMat-Bulk | GGA-PBE | optimized geometry; raw total energy = -8.405 eV/atom; magnetic moment = 0.000 μB/atom; uncorrected formation energy = -1.430 eV/atom
1.0
3.304 0.000 0.000
-1.652 2.861 0.000
0.000 0.000 12.266
Th Zr O
2 2 2
Cartesian
0.000 0.000 2.850
0.000 0.000 9.416
0.000 0.000 6.133
1.652 0.954 0.000
1.652 0.954 4.785
1.652 0.954 7.480

---

# 4
Be2FeSb | Alexandria via LeMat-Bulk | GGA-PBE | optimized geometry; raw total energy = -4.623 eV/atom; magnetic moment = 0.256 μB/atom; uncorrected formation energy = 0.387 eV/atom
1.0
2.960 0.000 0.000
0.000 3.967 0.000
-0.776 0.000 4.620
Be Fe Sb
2 1 1
Cartesian
0.323 0.000 1.511
1.861 0.000 3.109
1.092 1.983 2.310
0.000 1.983 0.000

---

# 5
Ac3Ga2Si2 | Alexandria via LeMat-Bulk | GGA-PBE | optimized geometry; raw total energy = -4.738 eV/atom; magnetic moment = 0.000 μB/atom; uncorrected formation energy = -0.563 eV/atom
1.0
5.849 -2.221 0.000
5.849 2.221 0.000
-4.032 0.000 7.592
Ac Ga Si
3 2 2
Cartesian
0.000 0.000 0.000
-0.534 0.000 4.737
8.200 0.000 2.855
3.326 0.000 0.529
4.339 0.000 7.063
2.668 0.000 5.256
4.998 0.000 2.336

---

# 6
Sr3YAs | Alexandria via LeMat-Bulk | GGA-PBE | optimized geometry; raw total energy = -2.345 eV/atom; magnetic moment = 0.784 μB/atom; energy of formation = 887 meV/atom
1.0
6.254 0.000 0.000
0.000 6.254 0.000
0.000 0.000 6.254
Sr Y As
3 1 1
Cartesian
0.000 0.000 3.127
0.000 3.127 0.000
3.127 0.000 0.000
0.000 0.000 0.000
3.127 3.127 3.127

---

# 7
BaMg2ZnIn4 | Alexandria via LeMat-Bulk | GGA-PBE | optimized geometry; raw total energy = -2.331 eV/atom; magnetic moment = 0.000 μB/atom; energy of formation = -163 meV/atom
1.0
2.541 1.467 9.836
-2.541 1.467 9.836
0.000 -2.934 9.836
Ba Mg Zn In
1 2 1 4
Cartesian
0.000 0.000 0.000
0.000 0.000 7.055
0.000 0.000 22.454
0.000 0.000 14.755
0.000 0.000 3.876
0.000 0.000 11.918
0.000 0.000 17.592
0.000 0.000 25.633

---

# 8
Ba3MgIn2 | Alexandria via LeMat-Bulk | GGA-PBE | optimized geometry; raw total energy = -2.390 eV/atom; magnetic moment = 0.000 μB/atom; energy of formation = -250 meV/atom
1.0
9.690 0.000 0.000
0.000 10.030 0.000
-3.238 0.000 10.082
Ba Mg In
12 4 8
Cartesian
0.326 1.822 4.144
-1.294 3.193 9.185
0.181 5.553 6.357
1.800 9.492 1.316
1.604 5.506 2.335
-0.015 9.540 7.376
6.467 0.491 2.705
4.848 4.524 7.746
4.651 0.538 8.766
6.271 4.477 3.725
7.746 6.838 0.896
6.126 8.208 5.937
0.915 6.614 9.882
2.534 8.431 4.841
3.918 1.599 5.240
5.537 3.416 0.199
-2.071 6.814 8.940
-0.451 8.232 3.899
3.517 2.486 2.340
1.898 2.529 7.381
4.554 7.501 2.701
2.935 7.545 7.742
6.903 1.799 6.182
8.523 3.217 1.141

---

# 9
SrMg2TlCd2 | Alexandria via LeMat-Bulk | GGA-PBE | optimized geometry; raw total energy = -1.688 eV/atom; magnetic moment = 0.000 μB/atom; energy of formation = -177 meV/atom
1.0
5.156 0.000 0.000
-2.578 4.465 0.000
0.000 0.000 6.983
Sr Mg Tl Cd
1 2 1 2
Cartesian
0.000 0.000 0.000
0.000 2.977 4.797
2.578 1.488 2.186
0.000 0.000 3.492
0.000 2.977 1.590
2.578 1.488 5.393

---

# 10
LiTaOs2 | Alexandria via LeMat-Bulk | GGA-PBE | optimized geometry; raw total energy = -8.929 eV/atom; magnetic moment = 0.000 μB/atom; energy of formation = 127 meV/atom
1.0
2.758 0.000 0.000
0.000 3.996 0.000
0.000 0.000 5.316
Li Ta Os
1 1 2
Cartesian
0.000 0.000 0.000
1.379 1.998 3.960
0.000 0.000 2.526
1.379 1.998 1.249

---

# 11
KCeZrS4 | Alexandria via LeMat-Bulk | GGA-PBE | optimized geometry; raw total energy = -6.216 eV/atom; magnetic moment = 0.134 μB/atom; uncorrected formation energy = -1.632 eV/atom
1.0
-3.897 4.404 5.787
3.897 -4.404 5.787
3.897 4.404 -5.787
K Ce Zr S
2 2 2 8
Cartesian
0.000 2.202 1.700
3.897 2.202 4.087
3.897 0.000 0.000
0.000 0.000 5.787
1.949 2.202 -2.894
1.949 -2.202 2.894
3.897 -0.458 2.806
3.897 3.945 -2.806
2.144 2.202 -0.306
5.651 2.202 -0.306
-1.754 2.202 6.093
1.754 2.202 6.093
0.000 0.458 8.593
0.000 4.862 2.981

---

# 12
BaLiSn2N | Alexandria via LeMat-Bulk | GGA-PBE | optimized geometry; raw total energy = -3.610 eV/atom; magnetic moment = 0.000 μB/atom; uncorrected formation energy = 0.423 eV/atom
1.0
5.541 0.000 0.000
0.000 5.541 0.000
0.000 0.000 3.989
Ba Li Sn N
1 1 2 1
Cartesian
0.000 0.000 0.000
2.771 2.771 1.995
0.000 2.771 1.995
2.771 0.000 1.995
2.771 2.771 0.000